# 1
Material: Sr2CdPt2Au5
Method: DFT, GGA-PBE
State: optimized geometry

Cell and atoms, written as CIF:
```
data_Sr2CdPt2Au5
_symmetry_space_group_name_H-M 'P 1'
_symmetry_Int_Tables_number 1
_symmetry_space_group_name_Hall 'P 1'
_cell_length_a 4.1508
_cell_length_b 10.2164
_cell_length_c 10.2164
_cell_angle_alpha 90.00
_cell_angle_beta 90.00
_cell_angle_gamma 90.00
loop_
_atom_site_label
_atom_site_type_symbol
_atom_site_fract_x
_atom_site_fract_y
_atom_site_fract_z
_atom_site_occupancy
Pt1 Pt 0.0000 0.1246 0.6246 1
Cd1 Cd 0.0000 0.5000 0.5000 1
Sr1 Sr 0.0000 0.1732 0.3268 1
Sr2 Sr 0.0000 0.3268 0.8268 1
Au1 Au 0.5000 0.7002 0.4384 1
Au2 Au 0.5000 0.7998 0.9384 1
Sr3 Sr 0.0000 0.8268 0.6732 1
Sr4 Sr 0.0000 0.6732 0.1732 1
Au3 Au 0.5000 0.0000 0.5000 1
Au4 Au 0.5000 0.5616 0.7002 1
Au5 Au 0.5000 0.4384 0.2998 1
Pt2 Pt 0.0000 0.3754 0.1246 1
Au6 Au 0.5000 0.2998 0.5616 1
Cd2 Cd 0.0000 0.0000 0.0000 1
Pt3 Pt 0.0000 0.8754 0.3754 1
Au7 Au 0.5000 0.5000 0.0000 1
Au8 Au 0.5000 0.2002 0.0616 1
Pt4 Pt 0.0000 0.6246 0.8754 1
Au9 Au 0.5000 0.0616 0.7998 1
Au10 Au 0.5000 0.9384 0.2002 1
```

Results
**DOS(E_F)**: 6.254 states/eV per cell
**Total DFT energy (no corrections)**: -75.3 eV for the cell shown
**M_tot**: 0.00 μB per formula unit
**Volume**: 21.7 Å³ per atom


# 2
Material: Sr2Cd3PtAu12
Method: DFT, GGA-PBE
State: optimized geometry

Cell and atoms, written as CIF:
```
data_Sr2Cd3PtAu12
_symmetry_space_group_name_H-M 'P 1'
_symmetry_Int_Tables_number 1
_symmetry_space_group_name_Hall 'P 1'
_cell_length_a 8.7621
_cell_length_b 8.7621
_cell_length_c 8.7621
_cell_angle_alpha 62.40
_cell_angle_beta 62.40
_cell_angle_gamma 62.40
loop_
_atom_site_label
_atom_site_type_symbol
_atom_site_fract_x
_atom_site_fract_y
_atom_site_fract_z
_atom_site_occupancy
Au1 Au 0.9985 0.3629 0.3629 1
Cd1 Cd 0.0000 0.5000 0.0000 1
Au2 Au 0.3629 0.9985 0.3629 1
Sr1 Sr 0.6179 0.6179 0.6179 1
Cd2 Cd 0.0000 0.0000 0.5000 1
Au3 Au 0.6371 0.0015 0.6371 1
Au4 Au 0.1295 0.1295 0.6464 1
Au5 Au 0.3536 0.8705 0.8705 1
Cd3 Cd 0.5000 0.0000 0.0000 1
Au6 Au 0.8705 0.3536 0.8705 1
Au7 Au 0.6371 0.6371 0.0015 1
Au8 Au 0.8705 0.8705 0.3536 1
Au9 Au 0.1295 0.6464 0.1295 1
Pt1 Pt 0.0000 0.0000 0.0000 1
Au10 Au 0.6464 0.1295 0.1295 1
Au11 Au 0.3629 0.3629 0.9985 1
Sr2 Sr 0.3821 0.3821 0.3821 1
Au12 Au 0.0015 0.6371 0.6371 1
```

Results
**DOS(E_F)**: 8.376 states/eV per cell
**Total DFT energy (no corrections)**: -52.6 eV for the cell shown
**M_tot**: 0.00 μB per formula unit
**Volume**: 27.8 Å³ per atom


# 3
Material: Sr2CdPtAu
Method: DFT, GGA-PBE
State: optimized geometry

Cell and atoms, written as CIF:
```
data_Sr2CdPtAu
_symmetry_space_group_name_H-M 'P 1'
_symmetry_Int_Tables_number 1
_symmetry_space_group_name_Hall 'P 1'
_cell_length_a 5.7462
_cell_length_b 5.1819
_cell_length_c 5.7462
_cell_angle_alpha 90.00
_cell_angle_beta 90.00
_cell_angle_gamma 90.00
loop_
_atom_site_label
_atom_site_type_symbol
_atom_site_fract_x
_atom_site_fract_y
_atom_site_fract_z
_atom_site_occupancy
Sr1 Sr 0.5000 0.0000 0.0000 1
Cd1 Cd 0.0000 0.5000 0.0000 1
Pt1 Pt 0.0000 0.0000 0.0000 1
Sr2 Sr 0.0000 0.0000 0.5000 1
Au1 Au 0.5000 0.5000 0.5000 1
```

Results
**DOS(E_F)**: 3.368 states/eV per cell
**Total DFT energy (no corrections)**: -15.7 eV for the cell shown
**M_tot**: 0.00 μB per formula unit
**Volume**: 34.2 Å³ per atom


# 4
Material: Sr2CdPtAu6
Method: DFT, GGA-PBE
State: optimized geometry

Cell and atoms, written as CIF:
```
data_Sr2CdPtAu6
_symmetry_space_group_name_H-M 'P 1'
_symmetry_Int_Tables_number 1
_symmetry_space_group_name_Hall 'P 1'
_cell_length_a 7.3407
_cell_length_b 7.3407
_cell_length_c 7.3407
_cell_angle_alpha 60.00
_cell_angle_beta 60.00
_cell_angle_gamma 90.00
loop_
_atom_site_label
_atom_site_type_symbol
_atom_site_fract_x
_atom_site_fract_y
_atom_site_fract_z
_atom_site_occupancy
Au1 Au 0.7522 0.7522 0.0000 1
Sr1 Sr 0.7500 0.2500 0.5000 1
Pt1 Pt 0.0000 0.0000 0.0000 1
Cd1 Cd 0.5000 0.5000 0.0000 1
Au2 Au 0.7522 0.2478 0.0000 1
Au3 Au 0.2478 0.2478 0.0000 1
Au4 Au 0.2478 0.2478 0.5044 1
Au5 Au 0.7522 0.7522 0.4956 1
Au6 Au 0.2478 0.7522 0.0000 1
Sr2 Sr 0.2500 0.7500 0.5000 1
```

Results
**DOS(E_F)**: 3.599 states/eV per cell
**Total DFT energy (no corrections)**: -31.9 eV for the cell shown
**M_tot**: 0.00 μB per formula unit
**Volume**: 28.0 Å³ per atom